Entry 1:
Here is crystalline TePb2S at its relaxed geometry from the Alexandria database. Energies are from PBE-GGA.

Summary:
uncorrected formation energy: -0.3899 eV per atom
offset from the most stable computed form: 5.92 kJ per mole of atoms
SG: R3m (160)
total magnetic moment: 0.00 Bohr magnetons per cell

Lattice parameters (Å, degrees): 4.3353 4.3353 23.8488 90.00 90.00 120.00
Atoms (fractional coordinates):
Te: 0.0000 0.0000 0.0000
Te: 0.3333 0.6667 0.6667
Te: 0.6667 0.3333 0.3333
Pb: 0.0000 0.0000 0.4339
Pb: 0.0000 0.0000 0.5899
Pb: 0.3333 0.6667 0.1006
Pb: 0.3333 0.6667 0.2566
Pb: 0.6667 0.3333 0.7673
Pb: 0.6667 0.3333 0.9232
S: 0.0000 0.0000 0.8259
S: 0.3333 0.6667 0.4926
S: 0.6667 0.3333 0.1592


Entry 2:
Here is crystalline TePbS4 at its relaxed geometry from the Alexandria database. Energies are from PBE-GGA.

Summary:
uncorrected formation energy: -0.0625 eV per atom
SG: P-1 (2)
total magnetic moment: 0.00 Bohr magnetons per cell

Lattice parameters (Å, degrees): 7.5204 7.5366 8.6348 65.91 66.09 61.32
Atoms (fractional coordinates):
Te: 0.0409 0.0417 0.2074
Te: 0.9591 0.9583 0.7926
Pb: 0.3388 0.3379 0.2136
Pb: 0.6612 0.6621 0.7864
S: 0.1721 0.6775 0.6177
S: 0.2398 0.2399 0.9961
S: 0.2545 0.7456 0.0004
S: 0.3229 0.8292 0.3833
S: 0.6771 0.1708 0.6167
S: 0.7455 0.2544 0.9996
S: 0.7602 0.7601 0.0039
S: 0.8279 0.3225 0.3823


Entry 3:
Here is crystalline TePbS2 at its relaxed geometry from the Alexandria database. Energies are from PBE-GGA.

Summary:
uncorrected formation energy: 0.1971 eV per atom
offset from the most stable computed form: 36.22 kJ per mole of atoms
SG: Fm-3m (225)
total magnetic moment: 0.00 Bohr magnetons per cell

Lattice parameters (Å, degrees): 7.1544 7.1544 7.1544 90.00 90.00 90.00
Atoms (fractional coordinates):
Te: 0.0000 0.0000 0.0000
Te: 0.0000 0.5000 0.5000
Te: 0.5000 0.0000 0.5000
Te: 0.5000 0.5000 0.0000
Pb: 0.0000 0.0000 0.5000
Pb: 0.0000 0.5000 0.0000
Pb: 0.5000 0.0000 0.0000
Pb: 0.5000 0.5000 0.5000
S: 0.2500 0.2500 0.2500
S: 0.2500 0.2500 0.7500
S: 0.2500 0.7500 0.2500
S: 0.2500 0.7500 0.7500
S: 0.7500 0.2500 0.2500
S: 0.7500 0.2500 0.7500
S: 0.7500 0.7500 0.2500
S: 0.7500 0.7500 0.7500


Entry 4:
Here is crystalline TlTePb2S at its relaxed geometry from the Alexandria database. Energies are from PBE-GGA.

Summary:
uncorrected formation energy: 0.3741 eV per atom
SG: P4/mmm (123)
total magnetic moment: 0.00 Bohr magnetons per cell

Lattice parameters (Å, degrees): 5.9983 5.9983 4.9311 90.00 90.00 90.00
Atoms (fractional coordinates):
Tl: 0.0000 0.0000 0.0000
Te: 0.5000 0.5000 0.5000
Pb: 0.0000 0.5000 0.0000
Pb: 0.5000 0.0000 0.0000
S: 0.0000 0.0000 0.5000


Entry 5:
Here is crystalline V2TePbS at its relaxed geometry from the Alexandria database. Energies are from PBE-GGA.

Summary:
uncorrected formation energy: 0.9120 eV per atom
SG: P4/mmm (123)
total magnetic moment: 6.59 Bohr magnetons per cell

Lattice parameters (Å, degrees): 5.0805 5.0805 5.4363 90.00 90.00 90.00
Atoms (fractional coordinates):
V: 0.0000 0.5000 0.0000
V: 0.5000 0.0000 0.0000
Te: 0.0000 0.0000 0.0000
Pb: 0.5000 0.5000 0.5000
S: 0.0000 0.0000 0.5000


Entry 6:
Here is crystalline TePbW2S at its relaxed geometry from the Alexandria database. Energies are from PBE-GGA.

Summary:
uncorrected formation energy: 2.4388 eV per atom
SG: P4/mmm (123)
total magnetic moment: 5.64 Bohr magnetons per cell

Lattice parameters (Å, degrees): 5.3552 5.3552 4.9870 90.00 90.00 90.00
Atoms (fractional coordinates):
Te: 0.0000 0.0000 0.0000
Pb: 0.5000 0.5000 0.5000
W: 0.0000 0.5000 0.5000
W: 0.5000 0.0000 0.5000
S: 0.5000 0.5000 0.0000


Entry 7:
Here is crystalline Y4Te2PbS at its relaxed geometry from the Alexandria database. Energies are from PBE-GGA.

Summary:
uncorrected formation energy: -1.2859 eV per atom
SG: P2/m (10)
total magnetic moment: 0.00 Bohr magnetons per cell

Lattice parameters (Å, degrees): 7.4030 4.2683 7.5072 90.00 109.15 90.00
Atoms (fractional coordinates):
Y: 0.2242 0.0000 0.2185
Y: 0.2411 0.5000 0.7683
Y: 0.7589 0.5000 0.2317
Y: 0.7758 0.0000 0.7815
Te: 0.0000 0.0000 0.5000
Te: 0.5000 0.5000 0.5000
Pb: 0.5000 0.0000 0.0000
S: 0.0000 0.5000 0.0000


Entry 8:
Here is crystalline ThPb2S4 at its relaxed geometry from the Alexandria database. Energies are from PBE-GGA.

Summary:
uncorrected formation energy: -1.0842 eV per atom
offset from the most stable computed form: 4.41 kJ per mole of atoms
SG: Cmcm (63)
total magnetic moment: 0.00 Bohr magnetons per cell

Lattice parameters (Å, degrees): 7.3741 7.3741 13.6066 90.00 90.00 148.77
Atoms (fractional coordinates):
Th: 0.1207 0.8793 0.7500
Th: 0.8793 0.1207 0.2500
Pb: 0.3726 0.6274 0.5668
Pb: 0.3726 0.6274 0.9332
Pb: 0.6274 0.3726 0.0668
Pb: 0.6274 0.3726 0.4332
S: 0.0000 0.0000 0.0000
S: 0.0000 0.0000 0.5000
S: 0.2912 0.7088 0.1286
S: 0.2912 0.7088 0.3714
S: 0.4848 0.5152 0.7500
S: 0.5152 0.4848 0.2500
S: 0.7088 0.2912 0.6286
S: 0.7088 0.2912 0.8714